# 1
Here is a relaxed In3SnPd7 crystal from Alexandria via LeMat-Bulk. Energies are from PBE.

It has space group C2/m (No. 12), with a = 8.8188 Å, b = 9.6709 Å, c = 5.3398 Å, α = 90.00°, β = 114.06° and γ = 90.00°. Symmetry generates all atoms from In at (0.0000, 0.0000, 0.0000), In at (0.0000, 0.2244, 0.5000), Sn at (0.0000, 0.5000, 0.0000), Pd at (0.0000, 0.5000, 0.5000), Pd at (0.1699, 0.2460, 0.1782) and Pd at (0.1958, 0.0000, 0.5461).

The value obtained for the total magnetic moment is 0.0 Bohr magnetons per cell. For the formation energy, the calculation gives -31.6 kJ/mol of atoms. As for the raw total energy: -4.743 eV per atom.

---

# 2
Here is a relaxed Tb6PmIn crystal from Alexandria via LeMat-Bulk. Energies are from PBE.

It has space group P4/mmm (No. 123), with a = 4.9244 Å, b = 4.9244 Å, c = 10.1154 Å, α = 90.00°, β = 90.00° and γ = 90.00°. Symmetry generates all atoms from Tb at (0.0000, 0.0000, 0.0000), Tb at (0.0000, 0.0000, 0.5000), Tb at (0.0000, 0.5000, 0.2422), Pm at (0.5000, 0.5000, 0.5000) and In at (0.5000, 0.5000, 0.0000).

The value obtained for the total magnetic moment is 0.0 Bohr magnetons per cell. For the formation energy, the calculation gives -10.9 kJ/mol of atoms. As for the raw total energy: -4.522 eV per atom.

---

# 3
Here is a relaxed Sr4C5 crystal from Alexandria via LeMat-Bulk. Energies are from PBE.

It has space group P6_3/mcm (No. 193), with a = 7.7713 Å, b = 7.7713 Å, c = 7.2899 Å, α = 90.00°, β = 90.00° and γ = 120.00°. Symmetry generates all atoms from Sr at (0.0000, 0.0000, 0.0000), Sr at (0.0000, 0.4114, 0.2500), C at (0.0000, 0.2526, 0.7500) and C at (0.3333, 0.6667, 0.0000).

For the distance to the lowest polymorph of the same formula, the calculation gives 926.0 meV per atom. The value obtained for the total magnetic moment is 0.3 Bohr magnetons per cell. For the formation energy, the calculation gives 172.3 kJ/mol of atoms. As for the raw total energy: -4.086 eV per atom.

---

# 4
Here is a relaxed FePCl crystal from Alexandria via LeMat-Bulk. Energies are from PBE.

It has space group F-43m (No. 216), with a = 6.0960 Å, b = 6.0960 Å, c = 6.0960 Å, α = 90.00°, β = 90.00° and γ = 90.00°. Symmetry generates all atoms from Fe at (0.0000, 0.0000, 0.0000), P at (0.2500, 0.2500, 0.2500) and Cl at (0.0000, 0.0000, 0.5000).

For the distance to the lowest polymorph of the same formula, the calculation gives 1277.9 meV per atom. The value obtained for the uncorrected formation energy is 867.1 meV/atom. The value obtained for the total magnetic moment is 11.7 Bohr magnetons per cell. As for the raw total energy: -4.373 eV per atom.

---

# 5
Here is a relaxed TlGa3Sn3 crystal from Alexandria via LeMat-Bulk. Energies are from PBE.

It has space group Pm-3n (No. 223), with a = 7.6550 Å, b = 7.6550 Å, c = 7.6550 Å, α = 90.00°, β = 90.00° and γ = 90.00°. Symmetry generates all atoms from Tl at (0.0000, 0.0000, 0.0000), Ga at (0.0000, 0.2500, 0.5000) and Sn at (0.0000, 0.5000, 0.2500).

For the distance to the lowest polymorph of the same formula, the calculation gives 86.9 meV per atom. The value obtained for the total magnetic moment is 0.0 Bohr magnetons per cell. For the formation energy, the calculation gives 16.2 kJ/mol of atoms. As for the raw total energy: -3.183 eV per atom.

---

# 6
Here is a relaxed BeV2N crystal from Alexandria via LeMat-Bulk. Energies are from PBE.

It has space group I-42d (No. 122), with a = 5.6683 Å, b = 5.6683 Å, c = 5.3280 Å, α = 90.00°, β = 90.00° and γ = 90.00°. Symmetry generates all atoms from Be at (0.0000, 0.0000, 0.0000), V at (0.1958, 0.2500, 0.6250) and N at (0.0000, 0.0000, 0.5000).

For the distance to the lowest polymorph of the same formula, the calculation gives 366.5 meV per atom. The value obtained for the uncorrected formation energy is -171.0 meV/atom. The value obtained for the total magnetic moment is 0.0 Bohr magnetons per cell. As for the raw total energy: -7.743 eV per atom.

---

# 7
Here is a relaxed Sc5Ag4Hg crystal from Alexandria via LeMat-Bulk. Energies are from PBE.

It has space group P4/mmm (No. 123), with a = 3.4324 Å, b = 3.4324 Å, c = 17.4486 Å, α = 90.00°, β = 90.00° and γ = 90.00°. Symmetry generates all atoms from Sc at (0.0000, 0.0000, 0.0000), Sc at (0.0000, 0.0000, 0.1981), Sc at (0.0000, 0.0000, 0.3950), Ag at (0.5000, 0.5000, 0.0987), Ag at (0.5000, 0.5000, 0.2963) and Hg at (0.5000, 0.5000, 0.5000).

The value obtained for the total magnetic moment is 0.0 Bohr magnetons per cell. For the formation energy, the calculation gives -29.5 kJ/mol of atoms. As for the raw total energy: -4.642 eV per atom.

---

# 8
Here is a relaxed Ho12Hg3N5 crystal from Alexandria via LeMat-Bulk. Energies are from PBE.

It has space group Ia-3d (No. 230), with a = 15.4681 Å, b = 15.4681 Å, c = 15.4681 Å, α = 90.00°, β = 90.00° and γ = 90.00°. Symmetry generates all atoms from Ho at (0.0373, 0.0500, 0.6482), Hg at (0.0000, 0.2500, 0.1250), N at (0.0000, 0.0000, 0.0000) and N at (0.0000, 0.2500, 0.3750).

The value obtained for the uncorrected formation energy is -850.8 meV/atom. The value obtained for the total magnetic moment is 0.0 Bohr magnetons per cell. As for the raw total energy: -5.724 eV per atom.